Density functional theory data (PBE with a Hubbard U) for a relaxed structure of MnBe2TlF8.

Lattice parameters (Å, degrees): 4.8767 4.8767 24.5007 90.00 90.00 120.00
Space group R-3 (No. 148, hexagonal axes)
Symmetry-distinct sites (fractional):
Mn 0.0000 0.0000 0.0000 [3 per cell]
Be 0.0000 0.0000 0.2644 [6 per cell]
Tl 0.0000 0.0000 0.5000 [3 per cell]
F 0.0000 0.0000 0.2031 [6 per cell]
F 0.0087 0.6220 0.3793 [18 per cell]

Results
For the density of states at the Fermi level, the calculation gives 6.81 states/eV/f.u. For the total energy, the calculation gives -63.24 eV/f.u. The value obtained for the calculated volume is 14.02 Å³ per atom. The calculation puts the total magnetization at 2.000 μB/f.u.